A plane-wave DFT calculation with PBE was carried out for an optimized crystal structure of TbPd4Pt.

The structure belongs to space group Cmc2_1 (No. 36); the cell edges are 4.732, 20.282 and 4.710 Å and the angles 90.00°, 90.00° and 90.00°. Symmetry generates all atoms from Tb at (0.000, 0.168, 0.000), Pd at (0.000, 0.094, 0.495), Pd at (0.000, 0.251, 0.514), Pd at (0.000, 0.329, 0.023), Pd at (0.000, 0.467, 0.041) and Pt at (0.000, 0.402, 0.536).

As for the crystal system: orthorhombic. As for the density of states at the Fermi level: 0.52 states/eV per atom. The formation enthalpy at 0 K comes out at -0.41 eV/atom. As for the total energy: -135.5 eV for the cell shown.

A plane-wave DFT calculation with PBE was carried out for an optimized crystal structure of TbPd5Pt2.

The structure belongs to space group Immm (No. 71); the cell edges are 3.729, 8.028 and 9.671 Å and the angles 90.00°, 90.00° and 90.00°. Symmetry generates all atoms from Tb at (0.000, 0.000, 0.000), Pd at (0.000, 0.187, 0.355), Pd at (0.000, 0.500, 0.000) and Pt at (0.000, 0.500, 0.280).

As for the crystal system: orthorhombic. As for the density of states at the Fermi level: 1.47 states/eV per atom. The formation enthalpy at 0 K comes out at -0.27 eV/atom. As for the total energy: -89.7 eV for the cell shown.

A plane-wave DFT calculation with PBE was carried out for an optimized crystal structure of TbPd3Pt.

The structure belongs to space group I-4m2 (No. 119); the cell edges are 5.037, 5.037 and 18.206 Å and the angles 90.00°, 90.00° and 90.00°. Symmetry generates all atoms from Tb at (0.000, 0.000, 0.164), Pd at (0.000, 0.249, 0.624), Pd at (0.000, 0.500, 0.071), Pt at (0.000, 0.000, 0.500) and Pt at (0.000, 0.500, 0.750).

As for the crystal system: tetragonal. As for the density of states at the Fermi level: 0.91 states/eV per atom. The formation enthalpy at 0 K comes out at -0.15 eV/atom. As for the total energy: -108.0 eV for the cell shown.

A plane-wave DFT calculation with PBE was carried out for an optimized crystal structure of Tb3PdPt.

The structure belongs to space group P-1 (No. 2); the cell edges are 5.609, 7.111 and 7.173 Å and the angles 98.01°, 90.73° and 113.08°. Symmetry generates all atoms from Tb at (0.053, 0.336, 0.166), Tb at (0.275, 0.331, 0.654), Tb at (0.396, 0.995, 0.252), Pd at (0.455, 0.678, 0.982) and Pt at (0.239, 0.678, 0.485).

As for the crystal system: triclinic. As for the density of states at the Fermi level: 0.95 states/eV per atom. The formation enthalpy at 0 K comes out at -0.83 eV/atom. As for the total energy: -58.6 eV for the cell shown.